1.
PaZn2TeO8 | PBE-GGA | relaxed

Summary:
- Volume: 12.7 Å³ per atom
- Density of states at the Fermi level: 5.347 states/eV per cell
- Formation energy without anion corrections: -1.594 eV/atom
- Electronic total energy: -6.17 eV per atom

Unit cell a=5.8338 b=5.8338 c=5.8338 alpha=111.56 beta=111.56 gamma=105.36
With the nearest neighbours (Å) after each atom.
Fractional positions:
1 Pa 0.0000 0.0000 0.0000  4 O 2.11
2 Zn 0.7500 0.2500 0.5000  4 O 1.93
3 Zn 0.5000 0.5000 0.0000  4 O 1.96
4 Te 0.2500 0.7500 0.5000  4 O 1.98
5 O 0.3540 0.0346 0.3193  1 Zn 1.93, 1 Pa 2.11
6 O 0.2971 0.5003 0.2032  1 Zn 1.96, 1 Te 1.98
7 O 0.2971 0.0939 0.7968  1 Zn 1.96, 1 Te 1.98
8 O 0.7153 0.0346 0.6807  1 Zn 1.93, 1 Pa 2.11
9 O 0.9061 0.7029 0.2032  1 Zn 1.96, 1 Te 1.98
10 O 0.9654 0.2847 0.3193  1 Zn 1.93, 1 Pa 2.11
11 O 0.9654 0.6460 0.6807  1 Zn 1.93, 1 Pa 2.11
12 O 0.4997 0.7029 0.7968  1 Zn 1.96, 1 Te 1.98


2.
Mn2Ir | PBE-GGA | relaxed

Summary:
- Volume: 12.9 Å³ per atom
- Density of states at the Fermi level: 12.714 states/eV per cell
- Formation energy from the elements: 16.3 kJ per mole of atoms
- Electronic total energy: -8.90 eV per atom

Unit cell a=2.6269 b=3.9101 c=15.0526 alpha=90.00 beta=90.00 gamma=90.00
With the nearest neighbours (Å) after each atom.
Fractional positions:
1 Ir 0.0000 0.2500 0.6161  10 Mn 2.62-2.66, 2 Ir 2.63
2 Ir 0.0000 0.7500 0.3839  10 Mn 2.62-2.66, 2 Ir 2.63
3 Ir 0.5000 0.7500 0.1161  10 Mn 2.62-2.66, 2 Ir 2.63
4 Ir 0.5000 0.2500 0.8839  10 Mn 2.62-2.66, 2 Ir 2.63
5 Mn 0.0000 0.2500 0.0342  3 Mn 2.21-2.37
6 Mn 0.0000 0.7500 0.9658  3 Mn 2.21-2.37
7 Mn 0.5000 0.7500 0.5342  3 Mn 2.21-2.37
8 Mn 0.5000 0.2500 0.4658  3 Mn 2.21-2.37
9 Mn 0.0000 0.2500 0.1917  3 Mn 2.19-2.37
10 Mn 0.0000 0.7500 0.8083  3 Mn 2.19-2.37
11 Mn 0.5000 0.7500 0.6917  3 Mn 2.19-2.37
12 Mn 0.5000 0.2500 0.3083  3 Mn 2.19-2.37